1.
PmPuNi2O6: optimized geometry, PBE with a Hubbard U.

a = 5.4937 Å, b = 5.4937 Å, c = 14.5924 Å
α = 90.00°, β = 90.00°, γ = 120.00°
With the nearest neighbours (Å) after each atom.
Space group R3 (No. 146, hexagonal axes)
One atom of each set of equivalent atoms:
Pm 0.0000 0.0000 0.0000 (multiplicity 3)  6 O 2.29-2.44
Pu 0.0000 0.0000 0.4845 (multiplicity 3)  6 O 2.15-2.18
Ni 0.0000 0.0000 0.2789 (multiplicity 3)  6 O 2.05-2.23
Ni 0.0000 0.0000 0.7892 (multiplicity 3)  6 O 2.06-2.17
O 0.0121 0.3651 0.5474 (multiplicity 9)  2 Ni 2.05-2.17, 1 Pu 2.18
O 0.0221 0.6177 0.0521 (multiplicity 9)  2 Ni 2.06-2.23, 1 Pu 2.15, 1 Pm 2.29

## Properties
Calculated total energy: -7.5962 eV/atom

***

2.
Pm2PuNiO6: optimized geometry, PBE with a Hubbard U.

a = 5.6384 Å, b = 5.8772 Å, c = 9.8541 Å
α = 90.00°, β = 122.86°, γ = 90.00°
With the nearest neighbours (Å) after each atom.
Space group P2_1/c (No. 14)
One atom of each set of equivalent atoms:
Pm 0.2211 0.0604 0.2460 (multiplicity 4)  6 O 2.33-2.61
Pu 0.5000 0.0000 0.0000 (multiplicity 2)  6 O 2.20-2.23
Ni 0.0000 0.0000 0.5000 (multiplicity 2)  6 O 2.09-2.21
O 0.1252 0.2024 0.9351 (multiplicity 4)  1 Ni 2.11, 1 Pu 2.20
O 0.2235 0.6969 0.9289 (multiplicity 4)  1 Ni 2.09, 1 Pu 2.22
O 0.3760 0.0542 0.7461 (multiplicity 4)  1 Ni 2.21, 1 Pu 2.23, 2 Pm 2.33-2.43

## Properties
Calculated total energy: -8.3794 eV/atom

***

3.
Pm2NiRhO6: optimized geometry, PBE with a Hubbard U.

a = 5.4115 Å, b = 5.7954 Å, c = 9.4574 Å
α = 90.00°, β = 124.89°, γ = 90.00°
With the nearest neighbours (Å) after each atom.
Space group P2_1/c (No. 14)
One atom of each set of equivalent atoms:
Pm 0.2299 0.0720 0.2506 (multiplicity 4)  6 O 2.33-2.56
Ni 0.5000 0.0000 0.0000 (multiplicity 2)  6 O 2.05-2.10
Rh 0.0000 0.0000 0.5000 (multiplicity 2)  6 O 2.02-2.05
O 0.1326 0.2006 0.9461 (multiplicity 4)  1 Rh 2.05, 1 Ni 2.10
O 0.2524 0.6946 0.9469 (multiplicity 4)  1 Rh 2.04, 1 Ni 2.10
O 0.3538 0.0336 0.7480 (multiplicity 4)  1 Rh 2.02, 1 Ni 2.05

## Properties
Calculated total energy: -7.0856 eV/atom